Entry 1:
Density functional theory data (GGA-PBE) for a relaxed Tb4Pr3Hg4 crystal.

## Properties
**Volume**: 30.2 Å³/atom
**Crystal system**: orthorhombic
**E_form**: -0.28 eV per atom

Cell and atoms, written as POSCAR:
```
Tb4Pr3Hg4
1.0
-2.4652 4.0563 8.2951
2.4652 -4.0563 8.2951
2.4652 4.0563 -8.2951
Tb Pr Hg
4 3 4
direct
0.0363 0.8271 0.2092
0.3821 0.1729 0.2092
0.6179 0.8271 0.7908
0.9637 0.1729 0.7908
0.0000 0.5000 0.5000
0.3889 0.3889 0.0000
0.6111 0.6111 0.0000
0.2154 0.7154 0.5000
0.3085 0.0000 0.3085
0.6915 0.0000 0.6915
0.7846 0.2846 0.5000
```

---

Entry 2:
Density functional theory data (GGA-PBE) for a relaxed DyScSnHg crystal.

## Properties
**Volume**: 24.2 Å³/atom
**Crystal system**: cubic
**E_form**: -0.51 eV per atom

Cell and atoms, written as POSCAR:
```
DyScSnHg
1.0
0.0000 3.6456 3.6456
3.6456 0.0000 3.6456
3.6456 3.6456 0.0000
Dy Sc Sn Hg
1 1 1 1
direct
0.0000 0.0000 0.0000
0.5000 0.5000 0.5000
0.2500 0.2500 0.2500
0.7500 0.7500 0.7500
```

---

Entry 3:
Density functional theory data (GGA-PBE) for a relaxed AlTe2N crystal.

## Properties
**Volume**: 20.8 Å³/atom
**Crystal system**: trigonal
**Energy**: -14.55 eV/cell

Cell and atoms, written as POSCAR:
```
AlTe2N
1.0
1.6226 0.9368 9.1384
-1.6226 0.9368 9.1384
0.0000 -1.8736 9.1384
Al Te N
1 2 1
direct
0.0000 0.0000 0.0000
0.1063 0.1063 0.1063
0.8937 0.8937 0.8937
0.5000 0.5000 0.5000
```

---

Entry 4:
Density functional theory data (GGA-PBE) for a relaxed CoTc2Ge2 crystal.

## Properties
**Volume**: 14.0 Å³/atom
**Crystal system**: tetragonal
**E_form**: 0.06 eV per atom

Cell and atoms, written as POSCAR:
```
CoTc2Ge2
1.0
6.0114 0.0000 0.0000
0.0000 6.0114 0.0000
0.0000 0.0000 3.8772
Co Tc Ge
2 4 4
direct
0.0000 0.0000 0.0000
0.5000 0.5000 0.0000
0.1718 0.3282 0.5000
0.3282 0.8282 0.5000
0.6718 0.1718 0.5000
0.8282 0.6718 0.5000
0.1447 0.6447 0.0000
0.3553 0.1447 0.0000
0.6447 0.8553 0.0000
0.8553 0.3553 0.0000
```

---

Entry 5:
Density functional theory data (GGA-PBE) for a relaxed NbAg3Se crystal.

## Properties
**Volume**: 27.8 Å³/atom
**Crystal system**: cubic
**Energy**: -14.48 eV/cell

Cell and atoms, written as POSCAR:
```
NbAg3Se
1.0
5.1795 0.0000 0.0000
0.0000 5.1795 0.0000
0.0000 0.0000 5.1795
Nb Ag Se
1 3 1
direct
0.0000 0.0000 0.0000
0.0000 0.0000 0.5000
0.0000 0.5000 0.0000
0.5000 0.0000 0.0000
0.5000 0.5000 0.5000
```

---

Entry 6:
Density functional theory data (GGA-PBE) for a relaxed ZrPdS2Cl crystal.

## Properties
**Volume**: 20.4 Å³/atom
**Crystal system**: tetragonal
**Energy**: -23.82 eV/cell

Cell and atoms, written as POSCAR:
```
ZrPdS2Cl
1.0
4.7158 0.0000 0.0000
0.0000 4.7158 0.0000
0.0000 0.0000 4.5950
Zr Pd S Cl
1 1 2 1
direct
0.0000 0.0000 0.0000
0.5000 0.5000 0.5000
0.0000 0.5000 0.5000
0.5000 0.0000 0.5000
0.5000 0.5000 0.0000
```

---

| no. | calculated density (Mg/m³) | spin magnetization (μB/cell) | D(E_F) (states/eV/f.u.) |
| --- | --- | --- | --- |
| 1 | 9.3 | 0.0 | 9.82 |
| 2 | 9.0 | 0.0 | 3.11 |
| 3 | 5.9 | 0.0 | 2.20 |
| 4 | 9.5 | 0.0 | 3.41 |
| 5 | 5.9 | 0.0 | 8.65 |
| 6 | 4.8 | 0.0 | 5.68 |